First-principles (GGA-PBE) data for a relaxed structure of NaO2F2, as listed in Alexandria.

Cell and atoms, written as POSCAR:
```
NaO2F2
1.0
4.233 0.000 0.000
0.000 4.233 0.000
0.000 0.000 3.205
Na O F
1 2 2
Direct
0.000 0.000 0.000 Na
0.500 0.500 0.000 O
0.500 0.500 0.500 O
0.000 0.500 0.500 F
0.500 0.000 0.500 F
```

Output
* ΔE_f (raw): -0.353 eV/atom
* symmetry: P4/mmm (123)
* polymorph energy (0 for the lowest one): 0.7653 eV/atom
* size of the total moment: 0.000 μB/atom
* V: 11.488 Å³ per atom